This record from Alexandria describes a relaxed NaTm2BiO6 crystal. The functional is PBE.

Geometry as CIF:
```
data_NaTm2BiO6
_chemical_formula_sum 'Na3 Tm6 Bi3 O18'
_space_group_name_H-M_alt 'R 3'
_space_group_IT_number 146
_space_group_name_Hall 'R 3'
_cell_length_a 5.7271
_cell_length_b 5.7271
_cell_length_c 15.3479
_cell_angle_alpha 90.00
_cell_angle_beta 90.00
_cell_angle_gamma 120.00
loop_
_atom_site_label
_atom_site_fract_x
_atom_site_fract_y
_atom_site_fract_z
Na1 0.0000 0.0000 0.0000
Tm1 0.0000 0.0000 0.2746
Tm2 0.0000 0.0000 0.7789
Bi1 0.0000 0.0000 0.4785
O1 0.0201 0.3432 0.5419
O2 0.0341 0.7384 0.3823
```

E_form (uncorrected): -2.379 eV/atom
Total energy: -6.768 eV/atom

---

This record from Alexandria describes a relaxed CuSbI2O crystal. The functional is PBE.

Geometry as CIF:
```
data_CuSbI2O
_chemical_formula_sum 'Cu1 Sb1 I2 O1'
_space_group_name_H-M_alt 'P 4/m m m'
_space_group_IT_number 123
_space_group_name_Hall '-P 4 2'
_cell_length_a 5.744
_cell_length_b 5.744
_cell_length_c 3.647
_cell_angle_alpha 90.00
_cell_angle_beta 90.00
_cell_angle_gamma 90.00
loop_
_atom_site_label
_atom_site_fract_x
_atom_site_fract_y
_atom_site_fract_z
Cu1 0.000 0.000 0.000
Sb1 0.500 0.500 0.500
I1 0.000 0.500 0.000
O1 0.000 0.000 0.500
```

E_form (uncorrected): 0.120 eV/atom
Total energy: -3.135 eV/atom

---

This record from Alexandria describes a relaxed UPaSb2 crystal. The functional is PBE.

Geometry as CIF:
```
data_UPaSb2
_chemical_formula_sum 'U1 Pa1 Sb2'
_space_group_name_H-M_alt 'P 4/m m m'
_space_group_IT_number 123
_space_group_name_Hall '-P 4 2'
_cell_length_a 3.723
_cell_length_b 3.723
_cell_length_c 7.510
_cell_angle_alpha 90.00
_cell_angle_beta 90.00
_cell_angle_gamma 90.00
loop_
_atom_site_label
_atom_site_fract_x
_atom_site_fract_y
_atom_site_fract_z
U1 0.000 0.000 0.000
Pa1 0.000 0.000 0.500
Sb1 0.500 0.500 0.251
```

E_form (uncorrected): -0.319 eV/atom
Total energy: -7.576 eV/atom

---

This record from Alexandria describes a relaxed AcMgSnSb crystal. The functional is PBE.

Geometry as CIF:
```
data_AcMgSnSb
_chemical_formula_sum 'Ac4 Mg4 Sn4 Sb4'
_space_group_name_H-M_alt 'F -4 3 m'
_space_group_IT_number 216
_space_group_name_Hall 'F -4 2 3'
_cell_length_a 7.820
_cell_length_b 7.820
_cell_length_c 7.820
_cell_angle_alpha 90.00
_cell_angle_beta 90.00
_cell_angle_gamma 90.00
loop_
_atom_site_label
_atom_site_fract_x
_atom_site_fract_y
_atom_site_fract_z
Ac1 0.000 0.000 0.000
Mg1 0.000 0.000 0.500
Sn1 0.250 0.250 0.750
Sb1 0.250 0.250 0.250
```

E_form (uncorrected): -0.390 eV/atom
Total energy: -3.848 eV/atom

---

This record from Alexandria describes a relaxed LaCuNi crystal. The functional is PBE.

Geometry as CIF:
```
data_LaCuNi
_chemical_formula_sum 'La2 Cu2 Ni2'
_space_group_name_H-M_alt 'I 4 m m'
_space_group_IT_number 107
_space_group_name_Hall 'I 4 -2'
_cell_length_a 3.443
_cell_length_b 3.443
_cell_length_c 9.576
_cell_angle_alpha 90.00
_cell_angle_beta 90.00
_cell_angle_gamma 90.00
loop_
_atom_site_label
_atom_site_fract_x
_atom_site_fract_y
_atom_site_fract_z
La1 0.000 0.000 0.000
Cu1 0.000 0.000 0.295
Ni1 0.000 0.000 0.696
```

Total energy: -4.996 eV/atom

---

This record from Alexandria describes a relaxed TbPr6Nd3 crystal. The functional is PBE.

Geometry as CIF:
```
data_TbPr6Nd3
_chemical_formula_sum 'Tb2 Pr12 Nd6'
_space_group_name_H-M_alt 'C 1 2/m 1'
_space_group_IT_number 12
_cell_length_a 11.588
_cell_length_b 7.176
_cell_length_c 9.009
_cell_angle_alpha 90.00
_cell_angle_beta 102.55
_cell_angle_gamma 90.00
loop_
_space_group_symop_operation_xyz
'x,y,z'
'-x,-y,-z'
'-x,y,-z'
'x,-y,z'
'x+1/2,y+1/2,z'
'-x+1/2,-y+1/2,-z'
'-x+1/2,y+1/2,-z'
'x+1/2,-y+1/2,z'
loop_
_atom_site_label
_atom_site_fract_x
_atom_site_fract_y
_atom_site_fract_z
Tb1 0.000 0.000 0.000
Pr1 0.159 0.500 0.492
Pr2 0.245 0.273 0.189
Nd1 0.000 0.000 0.500
Nd2 0.038 0.500 0.842
```

Total energy: -4.513 eV/atom

---

This record from Alexandria describes a relaxed CsPaW2N6 crystal. The functional is PBE.

Geometry as CIF:
```
data_CsPaW2N6
_chemical_formula_sum 'Cs4 Pa4 W8 N24'
_space_group_name_H-M_alt 'C 1 2/c 1'
_space_group_IT_number 15
_cell_length_a 10.821
_cell_length_b 11.528
_cell_length_c 6.548
_cell_angle_alpha 90.00
_cell_angle_beta 106.26
_cell_angle_gamma 90.00
loop_
_space_group_symop_operation_xyz
'x,y,z'
'-x,-y,-z'
'-x,y,-z+1/2'
'x,-y,z+1/2'
'x+1/2,y+1/2,z'
'-x+1/2,-y+1/2,-z'
'-x+1/2,y+1/2,-z+1/2'
'x+1/2,-y+1/2,z+1/2'
loop_
_atom_site_label
_atom_site_fract_x
_atom_site_fract_y
_atom_site_fract_z
Cs1 0.000 0.098 0.250
Pa1 0.000 0.300 0.750
W1 0.207 0.422 0.150
N1 0.074 0.319 0.087
N2 0.143 0.159 0.743
N3 0.183 0.462 0.853
```

E_form (uncorrected): -0.646 eV/atom
Total energy: -9.266 eV/atom

---

This record from Alexandria describes a relaxed KZr4Cu crystal. The functional is PBE.

Geometry as CIF:
```
data_KZr4Cu
_chemical_formula_sum 'K4 Zr16 Cu4'
_space_group_name_H-M_alt 'F -4 3 m'
_space_group_IT_number 216
_space_group_name_Hall 'F -4 2 3'
_cell_length_a 8.446
_cell_length_b 8.446
_cell_length_c 8.446
_cell_angle_alpha 90.00
_cell_angle_beta 90.00
_cell_angle_gamma 90.00
loop_
_atom_site_label
_atom_site_fract_x
_atom_site_fract_y
_atom_site_fract_z
K1 0.000 0.000 0.000
Zr1 0.123 0.123 0.623
Cu1 0.250 0.250 0.250
```

Total energy: -5.696 eV/atom

---

This record from Alexandria describes a relaxed NdAl6S8 crystal. The functional is PBE.

Geometry as CIF:
```
data_NdAl6S8
_chemical_formula_sum 'Nd3 Al18 S24'
_space_group_name_H-M_alt 'R -3'
_space_group_IT_number 148
_space_group_name_Hall '-R 3'
_cell_length_a 9.7790
_cell_length_b 9.7790
_cell_length_c 10.8635
_cell_angle_alpha 90.00
_cell_angle_beta 90.00
_cell_angle_gamma 120.00
loop_
_atom_site_label
_atom_site_fract_x
_atom_site_fract_y
_atom_site_fract_z
Nd1 0.0000 0.0000 0.0000
Al1 0.0618 0.8498 0.5989
S1 0.0000 0.0000 0.2669
S2 0.0015 0.7029 0.0844
```

E_form (uncorrected): -0.856 eV/atom
Total energy: -4.873 eV/atom

---

This record from Alexandria describes a relaxed PmPrPaIn crystal. The functional is PBE.

Geometry as CIF:
```
data_PmPrPaIn
_chemical_formula_sum 'Pm4 Pr4 Pa4 In4'
_space_group_name_H-M_alt 'F -4 3 m'
_space_group_IT_number 216
_space_group_name_Hall 'F -4 2 3'
_cell_length_a 7.731
_cell_length_b 7.731
_cell_length_c 7.731
_cell_angle_alpha 90.00
_cell_angle_beta 90.00
_cell_angle_gamma 90.00
loop_
_atom_site_label
_atom_site_fract_x
_atom_site_fract_y
_atom_site_fract_z
Pm1 0.000 0.000 0.000
Pr1 0.000 0.000 0.500
Pa1 0.250 0.250 0.250
In1 0.250 0.250 0.750
```

Total energy: -5.305 eV/atom

---

This record from Alexandria describes a relaxed Tb2YHo2Sc crystal. The functional is PBE.

Geometry as CIF:
```
data_Tb2YHo2Sc
_chemical_formula_sum 'Tb4 Y2 Ho4 Sc2'
_space_group_name_H-M_alt 'P n n m'
_space_group_IT_number 58
_cell_length_a 6.496
_cell_length_b 17.343
_cell_length_c 3.321
_cell_angle_alpha 90.00
_cell_angle_beta 90.00
_cell_angle_gamma 90.00
loop_
_space_group_symop_operation_xyz
'x,y,z'
'-x,-y,-z'
'-x,-y,z'
'x,y,-z'
'x+1/2,-y+1/2,-z+1/2'
'-x+1/2,y+1/2,z+1/2'
'-x+1/2,y+1/2,-z+1/2'
'x+1/2,-y+1/2,z+1/2'
loop_
_atom_site_label
_atom_site_fract_x
_atom_site_fract_y
_atom_site_fract_z
Tb1 0.248 0.181 0.000
Y1 0.000 0.500 0.000
Ho1 0.247 0.354 0.500
Sc1 0.000 0.000 0.000
```

Total energy: -4.924 eV/atom

---

This record from Alexandria describes a relaxed CaIr2Os crystal. The functional is PBE.

Geometry as CIF:
```
data_CaIr2Os
_chemical_formula_sum 'Ca2 Ir4 Os2'
_space_group_name_H-M_alt 'I 4/m m m'
_space_group_IT_number 139
_space_group_name_Hall '-I 4 2'
_cell_length_a 4.110
_cell_length_b 4.110
_cell_length_c 7.748
_cell_angle_alpha 90.00
_cell_angle_beta 90.00
_cell_angle_gamma 90.00
loop_
_atom_site_label
_atom_site_fract_x
_atom_site_fract_y
_atom_site_fract_z
Ca1 0.000 0.000 0.000
Ir1 0.000 0.500 0.250
Os1 0.000 0.000 0.500
```

Total energy: -7.378 eV/atom

---

no.,calculated density (Mg/m³)
1,7.6
2,6.3
3,11.4
4,6.8
5,7.6
6,6.5
7,6.9
8,5.2
9,3.1
10,9.1
11,6.9
12,15.6